{"formula": "SrV2IO8", "functional": "GGA+U", "state": "relaxed", "lattice": [[-1.262, -4.466, 2.567], [1.882, -4.377, -2.328], [6.583, 0.200, 4.232]], "species": ["O", "O", "O", "O", "O", "O", "O", "O", "V", "V", "I", "Sr"], "fractional_positions": [[0.725, 0.215, 0.775], [0.215, 0.725, 0.775], [0.278, 0.278, 0.575], [0.275, 0.785, 0.225], [0.785, 0.275, 0.225], [0.224, 0.224, 0.939], [0.722, 0.722, 0.425], [0.776, 0.776, 0.061], [0.360, 0.360, 0.763], [0.640, 0.640, 0.237], [0.000, 0.000, 0.000], [0.000, 0.000, 0.500]], "energy_ry_per_atom": -0.4719, "vol_a3_per_cell": 202, "dos_at_fermi_per_ev_fu": 3.83, "spacegroup": "C2/m, No. 12"}